First-principles (PBE-GGA) data for crystalline Y4PuIn5 at its relaxed geometry, as listed in Alexandria via LeMat-Bulk.

## Properties
Final energy in eV per atom: -5.803
Formation energy in meV/atom: -414.5

Cell lengths 3.745, 3.745, 19.122 Å; angles 90.00, 90.00, 90.00 degrees
Space group P4/mmm (No. 123)
Unique sites:
Y 0.000 0.000 0.099 [2 per cell]
Y 0.000 0.000 0.298 [2 per cell]
Pu 0.000 0.000 0.500 [1 per cell]
In 0.500 0.500 0.000 [1 per cell]
In 0.500 0.500 0.199 [2 per cell]
In 0.500 0.500 0.396 [2 per cell]

=====

First-principles (PBE-GGA) data for crystalline La4DyEr5 at its relaxed geometry, as listed in Alexandria via LeMat-Bulk.

## Properties
Distance to the lowest polymorph of the same formula in meV per atom: 0
Final energy in eV per atom: -4.516
Formation energy in meV/atom: 197.1

Cell lengths 17.111, 3.528, 11.467 Å; angles 90.00, 90.18, 90.00 degrees
Space group C2/m (No. 12)
Unique sites:
La 0.034 0.000 0.249 [4 per cell]
La 0.164 0.500 0.750 [4 per cell]
Dy 0.000 0.500 0.500 [2 per cell]
Er 0.000 0.500 0.000 [2 per cell]
Er 0.172 0.000 0.046 [4 per cell]
Er 0.173 0.000 0.453 [4 per cell]

=====

First-principles (PBE-GGA) data for crystalline La8TbDy5 at its relaxed geometry, as listed in Alexandria via LeMat-Bulk.

## Properties
Final energy in eV per atom: -4.634
Formation energy in meV/atom: 155.8

Cell lengths 8.644, 8.725, 8.739 Å; angles 113.01, 98.09, 117.06 degrees
Space group P1 (No. 1)
Unique sites:
La 0.000 0.000 0.000 [1 per cell]
La 0.016 0.413 0.812 [1 per cell]
La 0.382 0.280 0.853 [1 per cell]
La 0.415 0.002 0.435 [1 per cell]
La 0.530 0.762 0.057 [1 per cell]
La 0.677 0.540 0.681 [1 per cell]
La 0.795 0.894 0.517 [1 per cell]
La 0.851 0.280 0.314 [1 per cell]
Tb 0.484 0.284 0.222 [1 per cell]
Dy 0.130 0.762 0.635 [1 per cell]
Dy 0.185 0.233 0.465 [1 per cell]
Dy 0.269 0.531 0.276 [1 per cell]
Dy 0.619 0.053 0.854 [1 per cell]
Dy 0.894 0.629 0.167 [1 per cell]

=====

First-principles (PBE-GGA) data for crystalline CoAsP2 at its relaxed geometry, as listed in Alexandria via LeMat-Bulk.

## Properties
Final energy in eV per atom: -5.508
Formation energy in meV/atom: 135.5

Cell lengths 3.0660, 3.0660, 26.2635 Å; angles 90.00, 90.00, 120.00 degrees
Space group R3m (No. 160, hexagonal axes)
Unique sites:
Co 0.0000 0.0000 0.0000 [3 per cell]
As 0.0000 0.0000 0.7263 [3 per cell]
P 0.0000 0.0000 0.2644 [3 per cell]
P 0.0000 0.0000 0.5452 [3 per cell]

=====

First-principles (PBE-GGA) data for crystalline LaHo2Tm7 at its relaxed geometry, as listed in Alexandria via LeMat-Bulk.

## Properties
Distance to the lowest polymorph of the same formula in meV per atom: 663
Final energy in eV per atom: -3.829
Formation energy in meV/atom: 709.8

Cell lengths 8.656, 16.022, 5.582 Å; angles 90.00, 90.00, 90.00 degrees
Space group Cmmm (No. 65)
Unique sites:
La 0.000 0.000 0.000 [2 per cell]
Ho 0.000 0.297 0.500 [4 per cell]
Tm 0.000 0.216 0.000 [4 per cell]
Tm 0.000 0.500 0.500 [2 per cell]
Tm 0.176 0.116 0.500 [8 per cell]

=====

First-principles (PBE-GGA) data for crystalline Tm3BIr3Rh2 at its relaxed geometry, as listed in Alexandria via LeMat-Bulk.

## Properties
Final energy in eV per atom: -7.553
Formation energy in meV/atom: -732.9

Cell lengths 7.2278, 7.2278, 3.2954 Å; angles 90.00, 90.00, 120.00 degrees
Space group P-62m (No. 189)
Unique sites:
Tm 0.0000 0.3927 0.0000 [3 per cell]
B 0.0000 0.0000 0.0000 [1 per cell]
Ir 0.0000 0.7778 0.5000 [3 per cell]
Rh 0.3333 0.6667 0.5000 [2 per cell]

=====

First-principles (PBE-GGA) data for crystalline Nd2Zn12Au7 at its relaxed geometry, as listed in Alexandria via LeMat-Bulk.

## Properties
Final energy in eV per atom: -2.618
Formation energy in meV/atom: -343.1

Cell lengths 10.4825, 10.4825, 4.1687 Å; angles 90.00, 90.00, 120.00 degrees
Space group P-3 (No. 147)
Unique sites:
Nd 0.3333 0.6667 0.2478 [2 per cell]
Zn 0.0458 0.4314 0.7510 [6 per cell]
Zn 0.1174 0.2633 0.2399 [6 per cell]
Au 0.0000 0.0000 0.5000 [1 per cell]
Au 0.1265 0.7127 0.7478 [6 per cell]

=====

First-principles (PBE-GGA) data for crystalline Cr2Fe at its relaxed geometry, as listed in Alexandria via LeMat-Bulk.

## Properties
Final energy in eV per atom: -8.899
Formation energy in meV/atom: 337.1

Cell lengths 2.498, 2.498, 22.177 Å; angles 90.00, 90.00, 90.00 degrees
Space group I4_1/amd (No. 141, origin choice 2)
Unique sites:
Cr 0.000 0.250 0.298 [8 per cell]
Fe 0.000 0.250 0.875 [4 per cell]

=====

First-principles (PBE-GGA) data for crystalline Be3HW at its relaxed geometry, as listed in Alexandria via LeMat-Bulk.

## Properties
Distance to the lowest polymorph of the same formula in meV per atom: 2063
Final energy in eV per atom: -3.269

Cell lengths 4.535, 4.535, 4.535 Å; angles 90.00, 90.00, 90.00 degrees
Space group Pm-3m (No. 221)
Unique sites:
Be 0.000 0.000 0.500 [3 per cell]
H 0.500 0.500 0.500 [1 per cell]
W 0.000 0.000 0.000 [1 per cell]

=====

First-principles (PBE-GGA) data for crystalline Sm7Y2Ho3 at its relaxed geometry, as listed in Alexandria via LeMat-Bulk.

## Properties
Distance to the lowest polymorph of the same formula in meV per atom: 0
Final energy in eV per atom: -4.903
Formation energy in meV/atom: 72.0

Cell lengths 6.412, 3.550, 17.520 Å; angles 90.00, 96.02, 90.00 degrees
Space group P2/m (No. 10)
Unique sites:
Sm 0.000 0.000 0.000 [1 per cell]
Sm 0.226 0.500 0.170 [2 per cell]
Sm 0.258 0.500 0.497 [2 per cell]
Sm 0.275 0.000 0.834 [2 per cell]
Y 0.059 0.500 0.671 [2 per cell]
Ho 0.452 0.000 0.341 [2 per cell]
Ho 0.500 0.500 0.000 [1 per cell]

=====

First-principles (PBE-GGA) data for crystalline LiYHgBi2 at its relaxed geometry, as listed in Alexandria via LeMat-Bulk.

## Properties
Final energy in eV per atom: -3.450
Formation energy in meV/atom: -161.4

Cell lengths 5.256, 5.256, 4.895 Å; angles 90.00, 90.00, 90.00 degrees
Space group P4/mmm (No. 123)
Unique sites:
Li 0.000 0.000 0.000 [1 per cell]
Y 0.500 0.500 0.500 [1 per cell]
Hg 0.000 0.000 0.500 [1 per cell]
Bi 0.000 0.500 0.000 [2 per cell]

=====

First-principles (PBE-GGA) data for crystalline ErFeB at its relaxed geometry, as listed in Alexandria via LeMat-Bulk.

## Properties
Distance to the lowest polymorph of the same formula in meV per atom: 294
Final energy in eV per atom: -6.656
Formation energy in meV/atom: -88.4

Cell lengths 6.528, 9.618, 10.505 Å; angles 90.00, 90.00, 90.00 degrees
Space group Fddd (No. 70, origin choice 2)
Unique sites:
Er 0.000 0.000 0.000 [16 per cell]
Fe 0.125 0.125 0.496 [16 per cell]
B 0.125 0.283 0.625 [16 per cell]